Entry 1:
Computed, not measured: crystalline Tl3ZnHg3O8 at its relaxed geometry at the GGA-PBE level of DFT. Values from VASP.

Geometry as Quantum ESPRESSO input:
```
&SYSTEM
  ibrav = 0, nat = 15, ntyp = 4
/
ATOMIC_SPECIES
Tl 204.38 Tl.upf
Zn 65.41 Zn.upf
Hg 200.59 Hg.upf
O 16.00 O.upf
ATOMIC_POSITIONS crystal
Tl 0.000 0.000 0.000
Tl 0.000 0.500 0.000
Tl 0.500 0.000 0.000
Zn 0.500 0.500 0.000
Hg 0.000 0.500 0.500
Hg 0.500 0.000 0.500
Hg 0.500 0.500 0.500
O 0.226 0.226 0.206
O 0.241 0.685 0.184
O 0.285 0.285 0.732
O 0.315 0.759 0.816
O 0.685 0.241 0.184
O 0.715 0.715 0.268
O 0.759 0.315 0.816
O 0.774 0.774 0.794
CELL_PARAMETERS angstrom
6.008 -3.408 0.000
6.008 3.408 0.000
-3.484 0.000 5.809
```

Results
DOS at the Fermi energy = 1.43 states/eV per cell
E_tot = -3.765 eV/atom
symmetry = C2/m
mass density = 9.8 g/cm3
total magnetization = 0.00 μB per formula unit
uncorrected formation energy = -727 kJ/mol of formula units

Entry 2:
Computed, not measured: crystalline LiScCuSb at its relaxed geometry at the GGA-PBE level of DFT. Values from VASP.

Geometry as Quantum ESPRESSO input:
```
&SYSTEM
  ibrav = 0, nat = 4, ntyp = 4
/
ATOMIC_SPECIES
Li 6.94 Li.upf
Sc 44.96 Sc.upf
Cu 63.55 Cu.upf
Sb 121.76 Sb.upf
ATOMIC_POSITIONS crystal
Li 0.000 0.000 0.000
Sc 0.500 0.500 0.500
Cu 0.250 0.250 0.250
Sb 0.750 0.750 0.750
CELL_PARAMETERS angstrom
0.000 3.340 3.340
3.340 0.000 3.340
3.340 3.340 0.000
```

Results
DOS at the Fermi energy = 1.79 states/eV per cell
E_tot = -4.535 eV/atom
symmetry = F-43m
mass density = 5.3 g/cm3
total magnetization = 0.00 μB per formula unit
uncorrected formation energy = -162 kJ/mol of formula units

Entry 3:
Computed, not measured: crystalline CeMgNiSn at its relaxed geometry at the GGA-PBE level of DFT. Values from VASP.

Geometry as Quantum ESPRESSO input:
```
&SYSTEM
  ibrav = 0, nat = 4, ntyp = 4
/
ATOMIC_SPECIES
Ce 140.12 Ce.upf
Mg 24.30 Mg.upf
Ni 58.69 Ni.upf
Sn 118.71 Sn.upf
ATOMIC_POSITIONS crystal
Ce 0.000 0.000 0.000
Mg 0.750 0.750 0.750
Ni 0.250 0.250 0.250
Sn 0.500 0.500 0.500
CELL_PARAMETERS angstrom
0.000 3.425 3.425
3.425 0.000 3.425
3.425 3.425 0.000
```

Results
DOS at the Fermi energy = 4.36 states/eV per cell
E_tot = -4.609 eV/atom
symmetry = F-43m
mass density = 7.1 g/cm3
formation energy = -0.281 eV per atom
total magnetization = 0.18 μB per formula unit

Entry 4:
Computed, not measured: crystalline CsK12Na6 at its relaxed geometry at the GGA-PBE level of DFT. Values from VASP.

Geometry as Quantum ESPRESSO input:
```
&SYSTEM
  ibrav = 0, nat = 19, ntyp = 3
/
ATOMIC_SPECIES
Cs 132.91 Cs.upf
K 39.10 K.upf
Na 22.99 Na.upf
ATOMIC_POSITIONS crystal
Cs 0.000 0.000 0.000
K 0.117 0.500 0.883
K 0.117 0.883 0.500
K 0.161 0.420 0.420
K 0.420 0.161 0.420
K 0.420 0.420 0.161
K 0.500 0.117 0.883
K 0.500 0.883 0.117
K 0.580 0.580 0.839
K 0.580 0.839 0.580
K 0.839 0.580 0.580
K 0.883 0.117 0.500
K 0.883 0.500 0.117
Na 0.270 0.270 0.714
Na 0.270 0.714 0.270
Na 0.286 0.730 0.730
Na 0.714 0.270 0.270
Na 0.730 0.286 0.730
Na 0.730 0.730 0.286
CELL_PARAMETERS angstrom
8.969 5.178 4.548
-8.969 5.178 4.548
0.000 -10.356 4.548
```

Results
DOS at the Fermi energy = 14.88 states/eV per cell
E_tot = -1.098 eV/atom
symmetry = R-3m
mass density = 1.0 g/cm3
formation energy = 0.057 eV per atom
total magnetization = 0.00 μB per formula unit

Entry 5:
Computed, not measured: crystalline KLaTm4Se8 at its relaxed geometry at the GGA-PBE level of DFT. Values from VASP.

Geometry as Quantum ESPRESSO input:
```
&SYSTEM
  ibrav = 0, nat = 14, ntyp = 4
/
ATOMIC_SPECIES
K 39.10 K.upf
La 138.91 La.upf
Tm 168.93 Tm.upf
Se 78.96 Se.upf
ATOMIC_POSITIONS crystal
K 0.000 0.000 0.000
La 0.364 0.364 0.364
Tm 0.364 0.364 0.883
Tm 0.364 0.883 0.364
Tm 0.743 0.743 0.743
Tm 0.883 0.364 0.364
Se 0.125 0.125 0.575
Se 0.125 0.575 0.125
Se 0.136 0.136 0.136
Se 0.136 0.619 0.619
Se 0.575 0.125 0.125
Se 0.612 0.612 0.612
Se 0.619 0.136 0.619
Se 0.619 0.619 0.136
CELL_PARAMETERS angstrom
4.231 2.443 7.196
-4.231 2.443 7.196
0.000 -4.885 7.196
```

Results
DOS at the Fermi energy = 0.00 states/eV per cell
E_tot = -5.447 eV/atom
symmetry = R3m
mass density = 5.5 g/cm3
total magnetization = 0.00 μB per formula unit
uncorrected formation energy = -2361 kJ/mol of formula units

Entry 6:
Computed, not measured: crystalline LaMgZn2Pd2 at its relaxed geometry at the GGA-PBE level of DFT. Values from VASP.

Geometry as Quantum ESPRESSO input:
```
&SYSTEM
  ibrav = 0, nat = 6, ntyp = 4
/
ATOMIC_SPECIES
La 138.91 La.upf
Mg 24.30 Mg.upf
Zn 65.41 Zn.upf
Pd 106.42 Pd.upf
ATOMIC_POSITIONS crystal
La 0.000 0.000 0.000
Mg 0.000 0.000 0.500
Zn 0.333 0.667 0.307
Zn 0.667 0.333 0.693
Pd 0.333 0.667 0.703
Pd 0.667 0.333 0.297
CELL_PARAMETERS angstrom
4.461 0.000 0.000
-2.231 3.863 0.000
0.000 0.000 6.890
```

Results
DOS at the Fermi energy = 1.53 states/eV per cell
E_tot = -3.860 eV/atom
symmetry = P-3m1
mass density = 7.1 g/cm3
formation energy = -0.617 eV per atom
total magnetization = 0.00 μB per formula unit

Entry 7:
Computed, not measured: crystalline Al4GaNi15 at its relaxed geometry at the GGA-PBE level of DFT. Values from VASP.

Geometry as Quantum ESPRESSO input:
```
&SYSTEM
  ibrav = 0, nat = 20, ntyp = 3
/
ATOMIC_SPECIES
Al 26.98 Al.upf
Ga 69.72 Ga.upf
Ni 58.69 Ni.upf
ATOMIC_POSITIONS crystal
Al 0.000 0.000 0.100
Al 0.000 0.000 0.300
Al 0.000 0.000 0.700
Al 0.000 0.000 0.900
Ga 0.000 0.000 0.500
Ni 0.000 0.500 0.000
Ni 0.000 0.500 0.200
Ni 0.000 0.500 0.400
Ni 0.000 0.500 0.600
Ni 0.000 0.500 0.800
Ni 0.500 0.000 0.000
Ni 0.500 0.000 0.200
Ni 0.500 0.000 0.400
Ni 0.500 0.000 0.600
Ni 0.500 0.000 0.800
Ni 0.500 0.500 0.100
Ni 0.500 0.500 0.300
Ni 0.500 0.500 0.500
Ni 0.500 0.500 0.700
Ni 0.500 0.500 0.900
CELL_PARAMETERS angstrom
3.570 0.000 0.000
0.000 3.570 0.000
0.000 0.000 17.804
```

Results
DOS at the Fermi energy = 32.19 states/eV per cell
E_tot = -5.632 eV/atom
symmetry = P4/mmm
mass density = 7.7 g/cm3
formation energy = -0.396 eV per atom
total magnetization = 0.00 μB per formula unit

Entry 8:
Computed, not measured: crystalline GdDy2Ti at its relaxed geometry at the GGA-PBE level of DFT. Values from VASP.

Geometry as Quantum ESPRESSO input:
```
&SYSTEM
  ibrav = 0, nat = 4, ntyp = 3
/
ATOMIC_SPECIES
Gd 157.25 Gd.upf
Dy 162.50 Dy.upf
Ti 47.87 Ti.upf
ATOMIC_POSITIONS crystal
Gd 0.000 0.000 0.000
Dy 0.500 0.500 0.283
Dy 0.500 0.500 0.717
Ti 0.000 0.000 0.500
CELL_PARAMETERS angstrom
3.397 0.000 0.000
0.000 3.397 0.000
0.000 0.000 9.591
```

Results
DOS at the Fermi energy = 6.20 states/eV per cell
E_tot = -7.636 eV/atom
symmetry = P4/mmm
mass density = 8.0 g/cm3
formation energy = 0.159 eV per atom
total magnetization = 7.52 μB per formula unit

Entry 9:
Computed, not measured: crystalline UTl2Br5Cl at its relaxed geometry at the GGA-PBE level of DFT. Values from VASP.

Geometry as Quantum ESPRESSO input:
```
&SYSTEM
  ibrav = 0, nat = 9, ntyp = 4
/
ATOMIC_SPECIES
U 238.03 U.upf
Tl 204.38 Tl.upf
Br 79.90 Br.upf
Cl 35.45 Cl.upf
ATOMIC_POSITIONS crystal
U 0.000 0.000 0.000
Tl 0.322 0.822 0.500
Tl 0.822 0.322 0.500
Br 0.244 0.244 0.504
Br 0.244 0.739 0.000
Br 0.739 0.244 0.000
Br 0.739 0.739 0.496
Br 0.758 0.758 0.000
Cl 0.226 0.226 0.000
CELL_PARAMETERS angstrom
-3.925 3.925 5.704
3.925 -3.925 5.704
3.925 3.925 -5.704
```

Results
DOS at the Fermi energy = 6.76 states/eV per cell
E_tot = -4.086 eV/atom
symmetry = I4mm
mass density = 5.1 g/cm3
total magnetization = 2.00 μB per formula unit
uncorrected formation energy = -1017 kJ/mol of formula units

Entry 10:
Computed, not measured: crystalline MnTlPbBr5 at its relaxed geometry at the GGA-PBE level of DFT. Values from VASP.

Geometry as Quantum ESPRESSO input:
```
&SYSTEM
  ibrav = 0, nat = 16, ntyp = 4
/
ATOMIC_SPECIES
Mn 54.94 Mn.upf
Tl 204.38 Tl.upf
Pb 207.20 Pb.upf
Br 79.90 Br.upf
ATOMIC_POSITIONS crystal
Mn 0.183 0.817 0.750
Mn 0.817 0.183 0.250
Tl 0.151 0.849 0.250
Tl 0.849 0.151 0.750
Pb 0.500 0.500 0.000
Pb 0.500 0.500 0.500
Br 0.105 0.237 0.436
Br 0.162 0.583 0.866
Br 0.237 0.105 0.936
Br 0.401 0.599 0.250
Br 0.417 0.838 0.634
Br 0.583 0.162 0.366
Br 0.599 0.401 0.750
Br 0.763 0.895 0.064
Br 0.838 0.417 0.134
Br 0.895 0.763 0.564
CELL_PARAMETERS angstrom
4.851 -6.477 0.000
4.851 6.477 0.000
-4.383 0.000 9.797
```

Results
DOS at the Fermi energy = 0.00 states/eV per cell
E_tot = -3.797 eV/atom
symmetry = C2/c
mass density = 4.7 g/cm3
total magnetization = 5.00 μB per formula unit
uncorrected formation energy = -653 kJ/mol of formula units

Entry 11:
Computed, not measured: crystalline KAuBr5 at its relaxed geometry at the GGA-PBE level of DFT. Values from VASP.

Geometry as Quantum ESPRESSO input:
```
&SYSTEM
  ibrav = 0, nat = 14, ntyp = 3
/
ATOMIC_SPECIES
K 39.10 K.upf
Au 196.97 Au.upf
Br 79.90 Br.upf
ATOMIC_POSITIONS crystal
K 0.007 0.993 0.750
K 0.993 0.007 0.250
Au 0.500 0.500 0.000
Au 0.500 0.500 0.500
Br 0.109 0.675 0.980
Br 0.134 0.567 0.480
Br 0.325 0.891 0.520
Br 0.433 0.866 0.020
Br 0.489 0.511 0.250
Br 0.511 0.489 0.750
Br 0.567 0.134 0.980
Br 0.675 0.109 0.480
Br 0.866 0.433 0.520
Br 0.891 0.325 0.020
CELL_PARAMETERS angstrom
6.899 -3.603 0.000
6.899 3.603 0.000
-1.465 0.000 10.802
```

Results
DOS at the Fermi energy = 0.68 states/eV per cell
E_tot = -2.348 eV/atom
symmetry = C2/c
mass density = 3.9 g/cm3
total magnetization = 0.00 μB per formula unit
uncorrected formation energy = -357 kJ/mol of formula units

Entry 12:
Computed, not measured: crystalline NaHfSc at its relaxed geometry at the GGA-PBE level of DFT. Values from VASP.

Geometry as Quantum ESPRESSO input:
```
&SYSTEM
  ibrav = 0, nat = 3, ntyp = 3
/
ATOMIC_SPECIES
Na 22.99 Na.upf
Hf 178.49 Hf.upf
Sc 44.96 Sc.upf
ATOMIC_POSITIONS crystal
Na 0.000 0.000 0.000
Hf 0.216 0.216 0.216
Sc 0.790 0.790 0.790
CELL_PARAMETERS angstrom
1.602 0.925 8.710
-1.602 0.925 8.710
0.000 -1.849 8.710
```

Results
DOS at the Fermi energy = 3.21 states/eV per cell
E_tot = -5.628 eV/atom
symmetry = R3m
mass density = 5.3 g/cm3
formation energy = 0.240 eV per atom
total magnetization = 0.00 μB per formula unit